Below is crystalline Tb2BiS4 at its relaxed geometry, with properties calculated at the PBE level.

Unit cell a=15.4818 b=3.8919 c=7.0142 alpha=90.00 beta=113.17 gamma=90.00
Space group C2/m (No. 12)
Unique sites:
Tb 0.2352 0.0000 0.2393
Bi 0.0000 0.5000 0.5000
S 0.1385 0.5000 0.3413
S 0.1488 0.0000 0.8149

Computed properties:
- Total DFT energy (no corrections): -79.417 eV per cell
- Total magnetic moment: 0.00 μB/cell